DFT (PBE) results for crystalline La2Bi2I at its relaxed geometry.

a b c (Å): 9.365 9.365 4.063
angles (deg): 90.00 90.00 90.00
Sites, in units of the cell vectors:
I 0.000 0.000 0.000
I 0.500 0.500 0.000
Bi 0.877 0.623 0.000
Bi 0.623 0.123 0.000
Bi 0.123 0.377 0.000
Bi 0.377 0.877 0.000
La 0.171 0.671 0.500
La 0.329 0.171 0.500
La 0.671 0.829 0.500
La 0.829 0.329 0.500

**DOS at the Fermi energy**: 1.183 states/eV per atom
**Energy above the most stable polymorph in this dataset**: 267 meV per atom

***

DFT (PBE) results for crystalline Y2InAu6 at its relaxed geometry.

a b c (Å): 5.201 5.269 8.313
angles (deg): 71.52 81.01 60.44
Sites, in units of the cell vectors:
Au 0.826 0.508 0.160
Au 0.174 0.492 0.840
Au 0.320 0.351 0.500
Au 0.826 0.168 0.840
Au 0.680 0.649 0.500
Au 0.174 0.832 0.160
Y 0.500 0.160 0.179
Y 0.500 0.840 0.821
In 0.000 0.000 0.500

**ΔE_f**: -58.7 kJ per mole of atoms
**DOS at the Fermi energy**: 0.335 states/eV per atom

***

DFT (PBE) results for crystalline LiCeScS3 at its relaxed geometry.

a b c (Å): 3.792 7.787 8.375
angles (deg): 104.83 90.00 90.00
Sites, in units of the cell vectors:
S 0.250 0.772 0.490
S 0.250 0.556 0.833
S 0.750 0.228 0.510
S 0.750 0.897 0.132
S 0.750 0.444 0.167
S 0.250 0.103 0.868
Li 0.750 0.907 0.411
Li 0.250 0.093 0.589
Ce 0.250 0.196 0.229
Ce 0.750 0.804 0.771
Sc 0.250 0.667 0.154
Sc 0.750 0.333 0.846

**DOS at the Fermi energy**: 1.206 states/eV per atom
**Final energy**: -6.193 eV per atom

***

DFT (PBE) results for crystalline KTlAgAu at its relaxed geometry.

a b c (Å): 5.313 5.313 5.313
angles (deg): 60.00 60.00 60.00
Sites, in units of the cell vectors:
Tl 0.250 0.250 0.250
Ag 0.500 0.500 0.500
Au 0.000 0.000 0.000
K 0.750 0.750 0.750

**ΔE_f**: 3.1 kJ per mole of atoms
**DOS at the Fermi energy**: 0.299 states/eV per atom

***

DFT (PBE) results for crystalline ZrMnPb2 at its relaxed geometry.

a b c (Å): 4.412 3.337 6.374
angles (deg): 78.93 90.00 90.00
Sites, in units of the cell vectors:
Pb 0.000 0.578 0.507
Pb 0.000 0.922 0.993
Zr 0.500 0.250 0.250
Mn 0.500 0.750 0.750

**ΔE_f**: 19.8 kJ per mole of atoms
**DOS at the Fermi energy**: 0.691 states/eV per atom
**Energy above the most stable polymorph in this dataset**: 67 meV per atom

***

DFT (PBE) results for crystalline CrSb2Cl at its relaxed geometry.

a b c (Å): 8.499 8.499 8.499
angles (deg): 23.59 23.59 23.59
Sites, in units of the cell vectors:
Cl 0.250 0.250 0.250
Sb 0.488 0.488 0.488
Sb 0.012 0.012 0.012
Cr 0.750 0.750 0.750

**DOS at the Fermi energy**: 0.491 states/eV per atom
**Energy above the most stable polymorph in this dataset**: 206 meV per atom